Record 1
The following is a DFT calculation (PBE with a Hubbard U) of crystalline CeTl2W3O12 at its relaxed geometry.

Cell: 7.749 7.749 7.749 Å, 57.72 57.72 57.72°
Fractional positions:
O 0.074 0.648 0.074
O 0.700 0.062 0.700
O 0.700 0.700 0.062
O 0.648 0.074 0.074
O 0.926 0.352 0.926
O 0.938 0.300 0.300
O 0.300 0.938 0.300
O 0.300 0.300 0.938
O 0.352 0.926 0.926
O 0.926 0.926 0.352
O 0.074 0.074 0.648
O 0.062 0.700 0.700
W 0.500 0.000 0.000
W 0.000 0.000 0.500
W 0.000 0.500 0.000
Ce 0.000 0.000 0.000
Tl 0.665 0.665 0.665
Tl 0.335 0.335 0.335

Record 2
The following is a DFT calculation (PBE with a Hubbard U) of crystalline CeTlW2O8 at its relaxed geometry.

Cell: 9.382 9.382 6.984 Å, 69.79 69.79 110.48°
Fractional positions:
O 0.789 0.166 0.723
O 0.012 0.012 0.680
O 0.526 0.526 0.750
O 0.837 0.668 0.302
O 0.163 0.332 0.698
O 0.137 0.312 0.302
O 0.312 0.137 0.302
O 0.332 0.163 0.698
O 0.166 0.789 0.723
O 0.688 0.863 0.698
O 0.668 0.837 0.302
O 0.863 0.688 0.698
O 0.474 0.474 0.250
O 0.211 0.834 0.277
O 0.834 0.211 0.277
O 0.988 0.988 0.320
Tl 0.714 0.286 0.000
Tl 0.286 0.714 0.000
W 0.261 0.261 0.499
W 0.881 0.119 0.500
W 0.119 0.881 0.500
W 0.739 0.739 0.501
Ce 0.741 0.741 0.036
Ce 0.259 0.259 0.964

E above lowest polymorph ... 0.099 eV per atom

Record 3
The following is a DFT calculation (PBE with a Hubbard U) of crystalline CeTlW2O8 at its relaxed geometry.

Cell: 7.798 7.798 7.487 Å, 62.67 62.67 89.40°
Fractional positions:
W 0.298 0.312 0.206
W 0.688 0.702 0.294
W 0.312 0.298 0.706
W 0.702 0.688 0.794
O 0.251 0.369 0.943
O 0.228 0.043 0.310
O 0.629 0.937 0.131
O 0.626 0.411 0.531
O 0.937 0.629 0.631
O 0.371 0.063 0.869
O 0.063 0.371 0.369
O 0.589 0.374 0.969
O 0.043 0.228 0.810
O 0.374 0.589 0.469
O 0.749 0.631 0.057
O 0.411 0.626 0.031
O 0.957 0.772 0.190
O 0.631 0.749 0.557
O 0.772 0.957 0.690
O 0.369 0.251 0.443
Ce 0.776 0.224 0.750
Ce 0.224 0.776 0.250
Tl 0.785 0.215 0.250
Tl 0.215 0.785 0.750

E above lowest polymorph ... 0.000 eV per atom

no.,calculated volume (Å³ per cell),total DFT energy (no corrections) (eV/atom)
1,311.9,-7.155
2,458.1,-7.320
3,347.5,-7.419